Arrangement 1

VASP calculation (PBE) on a geometry-optimized Mg2ZnBr2 structure.

a = 6.487 Å, b = 6.487 Å, c = 6.487 Å
α = 131.32°, β = 131.32°, γ = 71.31°
Fractional coordinates of all 5 atoms:
Mg  0.250  0.750  0.500
Mg  0.750  0.250  0.500
Zn  0.000  0.000  0.000
Br  0.334  0.334  0.000
Br  0.666  0.666  0.000

Computed properties:
The symmetry is No. 139.


Arrangement 2

VASP calculation (PBE) on a geometry-optimized Mg2ZnBr2 structure.

a = 8.423 Å, b = 8.423 Å, c = 3.627 Å
α = 90.00°, β = 90.00°, γ = 90.00°
Fractional coordinates of all 10 atoms:
Mg  0.184  0.316  0.000
Mg  0.316  0.816  0.000
Mg  0.684  0.184  0.000
Mg  0.816  0.684  0.000
Zn  0.000  0.000  0.500
Zn  0.500  0.500  0.500
Br  0.139  0.639  0.500
Br  0.361  0.139  0.500
Br  0.639  0.861  0.500
Br  0.861  0.361  0.500

Computed properties:
The symmetry is No. 127.


Quick one: least stable of them? arrangement 2


Arrangement 1

VASP calculation (PBE) on a geometry-optimized MgZnBr4 structure.

a = 7.357 Å, b = 7.357 Å, c = 10.992 Å
α = 90.00°, β = 90.00°, γ = 90.00°
Fractional coordinates of all 12 atoms:
Mg  0.000  0.000  0.000
Mg  0.000  0.000  0.500
Zn  0.000  0.500  0.000
Zn  0.500  0.000  0.500
Br  0.238  0.254  0.000
Br  0.238  0.746  0.000
Br  0.254  0.238  0.500
Br  0.254  0.762  0.500
Br  0.746  0.238  0.500
Br  0.746  0.762  0.500
Br  0.762  0.254  0.000
Br  0.762  0.746  0.000

Computed properties:
The symmetry is No. 131.


Arrangement 2

VASP calculation (PBE) on a geometry-optimized MgZnBr4 structure.

a = 7.955 Å, b = 7.955 Å, c = 6.655 Å
α = 114.40°, β = 114.40°, γ = 27.81°
Fractional coordinates of all 6 atoms:
Mg  0.000  0.000  0.000
Zn  0.500  0.500  0.500
Br  0.107  0.107  0.443
Br  0.392  0.392  0.064
Br  0.608  0.608  0.936
Br  0.893  0.893  0.557

Computed properties:
The symmetry is No. 12.


Quick one: least stable of them? arrangement 1